[1]
# PBE TiB3W, optimized geometry
# Calculated formation energy, eV per atom: 1.59
# DFT total energy, hartree per atom: -0.2420
# Volume, Å³ per atom: 11.670
# Magnetic moment, μB/f.u.: 0.00
data_TiB3W
_chemical_formula_sum 'Ti1 B3 W1'
_symmetry_space_group_name_H-M 'P 1'
_symmetry_Int_Tables_number 1
_symmetry_space_group_name_Hall 'P 1'
_cell_length_a 3.879
_cell_length_b 3.879
_cell_length_c 3.879
_cell_angle_alpha 90.00
_cell_angle_beta 90.00
_cell_angle_gamma 90.00
loop_
_atom_site_label
_atom_site_type_symbol
_atom_site_fract_x
_atom_site_fract_y
_atom_site_fract_z
Ti1 Ti 0.000 0.000 0.000
B1 B 0.000 0.000 0.500
B2 B 0.000 0.500 0.000
B3 B 0.500 0.000 0.000
W1 W 0.500 0.500 0.500


[2]
# PBE TiBW3, optimized geometry
# Calculated formation energy, eV per atom: 2.77
# DFT total energy, hartree per atom: -0.2909
# Volume, Å³ per atom: 18.585
# Magnetic moment, μB/f.u.: 0.00
data_TiBW3
_chemical_formula_sum 'Ti1 B1 W3'
_symmetry_space_group_name_H-M 'P 1'
_symmetry_Int_Tables_number 1
_symmetry_space_group_name_Hall 'P 1'
_cell_length_a 4.529
_cell_length_b 4.529
_cell_length_c 4.529
_cell_angle_alpha 90.00
_cell_angle_beta 90.00
_cell_angle_gamma 90.00
loop_
_atom_site_label
_atom_site_type_symbol
_atom_site_fract_x
_atom_site_fract_y
_atom_site_fract_z
Ti1 Ti 0.000 0.000 0.000
B1 B 0.500 0.500 0.500
W1 W 0.000 0.000 0.500
W2 W 0.000 0.500 0.000
W3 W 0.500 0.000 0.000


[3]
# PBE TiBW3, optimized geometry
# Calculated formation energy, eV per atom: 0.18
# DFT total energy, hartree per atom: -0.3859
# Volume, Å³ per atom: 15.156
# Magnetic moment, μB/f.u.: 0.00
data_TiBW3
_chemical_formula_sum 'Ti1 B1 W3'
_symmetry_space_group_name_H-M 'P 1'
_symmetry_Int_Tables_number 1
_symmetry_space_group_name_Hall 'P 1'
_cell_length_a 4.232
_cell_length_b 4.232
_cell_length_c 4.232
_cell_angle_alpha 90.00
_cell_angle_beta 90.00
_cell_angle_gamma 90.00
loop_
_atom_site_label
_atom_site_type_symbol
_atom_site_fract_x
_atom_site_fract_y
_atom_site_fract_z
Ti1 Ti 0.000 0.000 0.000
B1 B 0.500 0.500 0.500
W1 W 0.000 0.500 0.500
W2 W 0.500 0.000 0.500
W3 W 0.500 0.500 0.000


[4]
# PBE TiB3W, optimized geometry
# Calculated formation energy, eV per atom: 0.94
# DFT total energy, hartree per atom: -0.2659
# Volume, Å³ per atom: 13.545
# Magnetic moment, μB/f.u.: 0.00
data_TiB3W
_chemical_formula_sum 'Ti1 B3 W1'
_symmetry_space_group_name_H-M 'P 1'
_symmetry_Int_Tables_number 1
_symmetry_space_group_name_Hall 'P 1'
_cell_length_a 4.076
_cell_length_b 4.076
_cell_length_c 4.076
_cell_angle_alpha 90.00
_cell_angle_beta 90.00
_cell_angle_gamma 90.00
loop_
_atom_site_label
_atom_site_type_symbol
_atom_site_fract_x
_atom_site_fract_y
_atom_site_fract_z
Ti1 Ti 0.000 0.000 0.000
B1 B 0.000 0.500 0.500
B2 B 0.500 0.000 0.500
B3 B 0.500 0.500 0.000
W1 W 0.500 0.500 0.500


[5]
# PBE TiB2W2, optimized geometry
# Calculated formation energy, eV per atom: 0.22
# DFT total energy, hartree per atom: -0.3384
# Volume, Å³ per atom: 12.165
# Magnetic moment, μB/f.u.: 0.00
data_TiB2W2
_chemical_formula_sum 'Ti2 B4 W4'
_symmetry_space_group_name_H-M 'P 1'
_symmetry_Int_Tables_number 1
_symmetry_space_group_name_Hall 'P 1'
_cell_length_a 7.057
_cell_length_b 7.057
_cell_length_c 3.979
_cell_angle_alpha 90.00
_cell_angle_beta 90.00
_cell_angle_gamma 142.12
loop_
_atom_site_label
_atom_site_type_symbol
_atom_site_fract_x
_atom_site_fract_y
_atom_site_fract_z
Ti1 Ti 0.000 0.000 0.000
Ti2 Ti 0.000 0.000 0.500
B1 B 0.053 0.346 0.250
B2 B 0.346 0.053 0.750
B3 B 0.654 0.947 0.250
B4 B 0.947 0.654 0.750
W1 W 0.218 0.782 0.250
W2 W 0.395 0.605 0.750
W3 W 0.605 0.395 0.250
W4 W 0.782 0.218 0.750


[6]
# PBE TiB4W, optimized geometry
# Calculated formation energy, eV per atom: -0.64
# DFT total energy, hartree per atom: -0.3149
# Volume, Å³ per atom: 8.664
# Magnetic moment, μB/f.u.: 0.00
data_TiB4W
_chemical_formula_sum 'Ti2 B8 W2'
_symmetry_space_group_name_H-M 'P 1'
_symmetry_Int_Tables_number 1
_symmetry_space_group_name_Hall 'P 1'
_cell_length_a 3.062
_cell_length_b 5.292
_cell_length_c 6.416
_cell_angle_alpha 90.00
_cell_angle_beta 90.00
_cell_angle_gamma 90.00
loop_
_atom_site_label
_atom_site_type_symbol
_atom_site_fract_x
_atom_site_fract_y
_atom_site_fract_z
Ti1 Ti 0.000 0.000 0.000
Ti2 Ti 0.500 0.500 0.500
B1 B 0.000 0.334 0.253
B2 B 0.000 0.334 0.747
B3 B 0.000 0.666 0.253
B4 B 0.000 0.666 0.747
B5 B 0.500 0.166 0.247
B6 B 0.500 0.166 0.753
B7 B 0.500 0.834 0.247
B8 B 0.500 0.834 0.753
W1 W 0.000 0.000 0.500
W2 W 0.500 0.500 0.000


[7]
# PBE Ti3BW, optimized geometry
# Calculated formation energy, eV per atom: 0.12
# DFT total energy, hartree per atom: -0.3141
# Volume, Å³ per atom: 15.330
# Magnetic moment, μB/f.u.: 0.00
data_Ti3BW
_chemical_formula_sum 'Ti3 B1 W1'
_symmetry_space_group_name_H-M 'P 1'
_symmetry_Int_Tables_number 1
_symmetry_space_group_name_Hall 'P 1'
_cell_length_a 4.248
_cell_length_b 4.248
_cell_length_c 4.248
_cell_angle_alpha 90.00
_cell_angle_beta 90.00
_cell_angle_gamma 90.00
loop_
_atom_site_label
_atom_site_type_symbol
_atom_site_fract_x
_atom_site_fract_y
_atom_site_fract_z
Ti1 Ti 0.000 0.000 0.500
Ti2 Ti 0.000 0.500 0.000
Ti3 Ti 0.500 0.000 0.000
B1 B 0.000 0.000 0.000
W1 W 0.500 0.500 0.500


[8]
# PBE Ti3B4W, optimized geometry
# Calculated formation energy, eV per atom: -0.44
# DFT total energy, hartree per atom: -0.3072
# Volume, Å³ per atom: 11.616
# Magnetic moment, μB/f.u.: 0.00
data_Ti3B4W
_chemical_formula_sum 'Ti6 B8 W2'
_symmetry_space_group_name_H-M 'P 1'
_symmetry_Int_Tables_number 1
_symmetry_space_group_name_Hall 'P 1'
_cell_length_a 3.199
_cell_length_b 4.779
_cell_length_c 12.158
_cell_angle_alpha 90.00
_cell_angle_beta 90.00
_cell_angle_gamma 90.00
loop_
_atom_site_label
_atom_site_type_symbol
_atom_site_fract_x
_atom_site_fract_y
_atom_site_fract_z
Ti1 Ti 0.000 0.000 0.000
Ti2 Ti 0.000 0.500 0.193
Ti3 Ti 0.000 0.500 0.807
Ti4 Ti 0.500 0.000 0.307
Ti5 Ti 0.500 0.000 0.693
Ti6 Ti 0.500 0.500 0.500
B1 B 0.000 0.326 0.367
B2 B 0.000 0.326 0.633
B3 B 0.000 0.674 0.367
B4 B 0.000 0.674 0.633
B5 B 0.500 0.174 0.133
B6 B 0.500 0.174 0.867
B7 B 0.500 0.826 0.133
B8 B 0.500 0.826 0.867
W1 W 0.000 0.000 0.500
W2 W 0.500 0.500 0.000


[9]
# PBE TiBW, optimized geometry
# Calculated formation energy, eV per atom: -0.51
# DFT total energy, hartree per atom: -0.3559
# Volume, Å³ per atom: 12.377
# Magnetic moment, μB/f.u.: 0.00
data_TiBW
_chemical_formula_sum 'Ti2 B2 W2'
_symmetry_space_group_name_H-M 'P 1'
_symmetry_Int_Tables_number 1
_symmetry_space_group_name_Hall 'P 1'
_cell_length_a 5.630
_cell_length_b 4.684
_cell_length_c 4.556
_cell_angle_alpha 75.08
_cell_angle_beta 53.50
_cell_angle_gamma 51.43
loop_
_atom_site_label
_atom_site_type_symbol
_atom_site_fract_x
_atom_site_fract_y
_atom_site_fract_z
Ti1 Ti 0.169 0.831 0.169
Ti2 Ti 0.831 0.169 0.831
B1 B 0.250 0.250 0.250
B2 B 0.750 0.750 0.750
W1 W 0.336 0.336 0.664
W2 W 0.664 0.664 0.336


[10]
# PBE TiB3W, optimized geometry
# Calculated formation energy, eV per atom: -0.78
# DFT total energy, hartree per atom: -0.3292
# Volume, Å³ per atom: 9.350
# Magnetic moment, μB/f.u.: 0.00
data_TiB3W
_chemical_formula_sum 'Ti2 B6 W2'
_symmetry_space_group_name_H-M 'P 1'
_symmetry_Int_Tables_number 1
_symmetry_space_group_name_Hall 'P 1'
_cell_length_a 9.643
_cell_length_b 9.643
_cell_length_c 3.070
_cell_angle_alpha 90.00
_cell_angle_beta 90.00
_cell_angle_gamma 160.88
loop_
_atom_site_label
_atom_site_type_symbol
_atom_site_fract_x
_atom_site_fract_y
_atom_site_fract_z
Ti1 Ti 0.070 0.930 0.750
Ti2 Ti 0.930 0.070 0.250
B1 B 0.336 0.664 0.250
B2 B 0.385 0.615 0.750
B3 B 0.477 0.523 0.750
B4 B 0.523 0.477 0.250
B5 B 0.615 0.385 0.250
B6 B 0.664 0.336 0.750
W1 W 0.204 0.796 0.250
W2 W 0.796 0.204 0.750


[11]
# PBE TiB2W4, optimized geometry
# Calculated formation energy, eV per atom: 0.26
# DFT total energy, hartree per atom: -0.3740
# Volume, Å³ per atom: 14.031
# Magnetic moment, μB/f.u.: 0.00
data_TiB2W4
_chemical_formula_sum 'Ti1 B2 W4'
_symmetry_space_group_name_H-M 'P 1'
_symmetry_Int_Tables_number 1
_symmetry_space_group_name_Hall 'P 1'
_cell_length_a 6.954
_cell_length_b 6.954
_cell_length_c 6.954
_cell_angle_alpha 34.89
_cell_angle_beta 34.89
_cell_angle_gamma 34.89
loop_
_atom_site_label
_atom_site_type_symbol
_atom_site_fract_x
_atom_site_fract_y
_atom_site_fract_z
Ti1 Ti 0.000 0.000 0.000
B1 B 0.111 0.111 0.111
B2 B 0.889 0.889 0.889
W1 W 0.223 0.223 0.223
W2 W 0.387 0.387 0.387
W3 W 0.613 0.613 0.613
W4 W 0.777 0.777 0.777


[12]
# PBE TiBW, optimized geometry
# Calculated formation energy, eV per atom: -0.30
# DFT total energy, hartree per atom: -0.3482
# Volume, Å³ per atom: 12.931
# Magnetic moment, μB/f.u.: 0.00
data_TiBW
_chemical_formula_sum 'Ti4 B4 W4'
_symmetry_space_group_name_H-M 'P 1'
_symmetry_Int_Tables_number 1
_symmetry_space_group_name_Hall 'P 1'
_cell_length_a 3.094
_cell_length_b 10.043
_cell_length_c 4.994
_cell_angle_alpha 90.00
_cell_angle_beta 90.00
_cell_angle_gamma 90.00
loop_
_atom_site_label
_atom_site_type_symbol
_atom_site_fract_x
_atom_site_fract_y
_atom_site_fract_z
Ti1 Ti 0.000 0.208 0.250
Ti2 Ti 0.000 0.792 0.750
Ti3 Ti 0.500 0.292 0.750
Ti4 Ti 0.500 0.708 0.250
B1 B 0.000 0.128 0.750
B2 B 0.000 0.872 0.250
B3 B 0.500 0.372 0.250
B4 B 0.500 0.628 0.750
W1 W 0.000 0.500 0.000
W2 W 0.000 0.500 0.500
W3 W 0.500 0.000 0.000
W4 W 0.500 0.000 0.500